First-principles (PBE) data for an optimized crystal structure of KLa2Pb, as listed in Alexandria via LeMat-Bulk.

Cell: 6.635 6.635 6.635 Å, 136.64 134.63 64.55°
Atoms (fractional coordinates):
Pb 0.504 0.504 0.000
K 0.256 0.756 0.500
La 0.742 0.242 0.500
La 0.998 0.998 0.000

* energy relative to the elements: -1.1 kJ per mole of atoms
* DOS(E_F): 4.107 states/eV per cell